Computed, not measured: an optimized crystal structure of Tb3Ge4Pd2 at the PBE-GGA level of DFT.

Results
ΔH_f (0 K): -0.8586 eV per atom
Crystal system: monoclinic

abc: 10.8233 4.3343 8.3199
angles: 90.00 105.20 90.00
Closest atoms and distances in Å follow each position.
Space group C2/m (No. 12)
One atom of each set of equivalent atoms:
Tb 0.0000 0.0000 0.0000 (multiplicity 2)  8 Ge 3.13-3.23, 4 Pd 3.14
Tb 0.1644 0.5000 0.6636 (multiplicity 4)  4 Pd 3.08-3.25, 8 Ge 3.11-3.25
Ge 0.0609 0.0000 0.3918 (multiplicity 4)  2 Pd 2.47, 1 Ge 2.49
Ge 0.2291 0.5000 0.0680 (multiplicity 4)  1 Pd 2.45, 2 Ge 2.54
Pd 0.1045 0.5000 0.2754 (multiplicity 4)  3 Ge 2.45-2.47